A relaxed Cr3SbF crystal. Source: Alexandria via LeMat-Bulk, functional GGA+U.

a = 5.320 Å, b = 5.320 Å, c = 5.320 Å
α = 90.00°, β = 90.00°, γ = 90.00°
Space group Pm-3m (No. 221)
Asymmetric unit:
Cr 0.000 0.000 0.500 (multiplicity 3)
Sb 0.000 0.000 0.000 (multiplicity 1)
F 0.500 0.500 0.500 (multiplicity 1)

Results
crystal system = cubic
relative energy among the computed polymorphs = 0.5721 eV/atom
DFT total energy = -26.93 eV per cell
density of states at the Fermi level = 4.32 states/eV/f.u.